(1)
Here is a relaxed structure of FeAsIO2 from the Alexandria database. Energies are from PBE with a Hubbard U.

Calculated values
The density of states at the Fermi level comes out at 0.503 states/eV/atom. The calculation puts the energy above the lowest structure with this stoichiometry at 0.000 eV/atom. As for the volume: 18.8 Å³ per atom. Its total magnetic moment is 3.99 μB/f.u. For the total energy, the calculation gives -4.3478 eV per atom. As for the space group: P4/mmm, No. 123.

Unit cell a=3.935 b=3.935 c=6.078 alpha=90.00 beta=90.00 gamma=90.00
Sites, in units of the cell vectors:
Fe  0.000  0.000  0.000
As  0.500  0.500  0.500
I  0.500  0.500  0.000
O  0.000  0.500  0.500
O  0.500  0.000  0.500

***

(2)
Here is a relaxed structure of FeAsIO2 from the Alexandria database. Energies are from PBE with a Hubbard U.

Calculated values
The density of states at the Fermi level comes out at 0.708 states/eV/atom. The calculation puts the energy above the lowest structure with this stoichiometry at 0.017 eV/atom. As for the volume: 20.4 Å³ per atom. Its total magnetic moment is 5.73 μB/f.u. For the total energy, the calculation gives -4.3307 eV per atom. As for the space group: P4/mmm, No. 123.

Unit cell a=3.890 b=3.890 c=6.725 alpha=90.00 beta=90.00 gamma=90.00
Sites, in units of the cell vectors:
Fe  0.000  0.000  0.000
As  0.500  0.500  0.500
I  0.000  0.000  0.500
O  0.000  0.500  0.000
O  0.500  0.000  0.000

***

- What is the total magnetic moment in the second record?
  5.73 μB/f.u.

***

- Number 1 is which compound?
  FeAsIO2